DFT (PBE) results for crystalline MgReRhW at its relaxed geometry.

## Properties
For the volume, the calculation gives 15.3 Å³/atom. The calculation puts the density of states at the Fermi level at 0.59 states/eV/f.u. The formation energy is -42.9 meV per atom.

Structure (CIF):
```
data_MgReRhW
_cell_length_a 4.420
_cell_length_b 4.420
_cell_length_c 4.420
_cell_angle_alpha 60.00
_cell_angle_beta 60.00
_cell_angle_gamma 60.00
_symmetry_space_group_name_H-M 'P 1'
_symmetry_Int_Tables_number 1
loop_
_symmetry_equiv_pos_as_xyz
'x,y,z'
loop_
_atom_site_label
_atom_site_fract_x
_atom_site_fract_y
_atom_site_fract_z
Re1 0.750 0.750 0.750
Mg1 0.500 0.500 0.500
Rh1 0.250 0.250 0.250
W1 0.000 0.000 0.000
```

DFT (PBE) results for crystalline TlIn2Br at its relaxed geometry.

## Properties
For the volume, the calculation gives 29.8 Å³/atom. The value obtained for the uncorrected formation energy is -0.19 eV/atom. The calculation puts the density of states at the Fermi level at 2.47 states/eV/f.u.

Structure (CIF):
```
data_TlIn2Br
_cell_length_a 5.708
_cell_length_b 5.708
_cell_length_c 3.655
_cell_angle_alpha 90.00
_cell_angle_beta 90.00
_cell_angle_gamma 90.00
_symmetry_space_group_name_H-M 'P 1'
_symmetry_Int_Tables_number 1
loop_
_symmetry_equiv_pos_as_xyz
'x,y,z'
loop_
_atom_site_label
_atom_site_fract_x
_atom_site_fract_y
_atom_site_fract_z
Tl1 0.500 0.000 0.500
Br1 0.000 0.500 0.500
In1 0.000 0.000 0.000
In2 0.500 0.500 0.000
```

DFT (PBE) results for crystalline ScBBr2 at its relaxed geometry.

## Properties
For the volume, the calculation gives 20.0 Å³/atom. The value obtained for the uncorrected formation energy is 0.34 eV/atom. The calculation puts the density of states at the Fermi level at 2.34 states/eV/f.u.

Structure (CIF):
```
data_ScBBr2
_cell_length_a 4.836
_cell_length_b 4.836
_cell_length_c 4.836
_cell_angle_alpha 60.00
_cell_angle_beta 60.00
_cell_angle_gamma 60.00
_symmetry_space_group_name_H-M 'P 1'
_symmetry_Int_Tables_number 1
loop_
_symmetry_equiv_pos_as_xyz
'x,y,z'
loop_
_atom_site_label
_atom_site_fract_x
_atom_site_fract_y
_atom_site_fract_z
Sc1 0.500 0.500 0.500
B1 0.000 0.000 0.000
Br1 0.250 0.250 0.250
Br2 0.750 0.750 0.750
```

> Which value of volume does entry 1 give?

15.3 Å³/atom